No. 1
Sm4Y4Mg, optimized geometry, DFT GGA-PBE; calculated volume = 32.00 A^3/atom; excess energy over the best structure of this formula in the dataset = 0 meV per atom; symmetry = No. 139; M_tot = 0.00 μB/cell
1.0
-3.526 0.612 3.624
0.040 -6.400 4.698
3.356 3.586 6.237
Sm Y Mg
4 4 1
direct
0.666 0.667 0.000
0.334 0.333 0.000
0.666 0.000 0.667
0.334 0.000 0.333
0.668 0.332 0.332
0.332 0.668 0.668
0.000 0.668 0.332
0.000 0.332 0.668
0.000 0.000 0.000

---

No. 2
KTaV2As, optimized geometry, DFT GGA-PBE; calculated volume = 18.27 A^3/atom; excess energy over the best structure of this formula in the dataset = 1119 meV per atom; symmetry = No. 123; M_tot = 0.00 μB/cell
1.0
4.187 0.000 0.000
0.000 5.213 0.000
0.000 0.000 4.187
As V K Ta
1 2 1 1
direct
0.000 0.500 0.000
0.000 0.000 0.500
0.500 0.000 0.000
0.000 0.000 0.000
0.500 0.500 0.500

---

No. 3
NiTe4, optimized geometry, DFT GGA-PBE; calculated volume = 26.24 A^3/atom; excess energy over the best structure of this formula in the dataset = 102 meV per atom; symmetry = No. 221; E_form (uncorrected) = 262 meV per atom; M_tot = 0.00 μB/cell
1.0
5.081 0.000 0.000
0.000 5.081 0.000
0.000 0.000 5.081
Ni Te
1 4
direct
0.500 0.500 0.500
0.000 0.000 0.000
0.500 0.000 0.500
0.000 0.500 0.500
0.500 0.500 0.000

---

No. 4
LiPRhCl2, optimized geometry, DFT GGA-PBE; calculated volume = 23.24 A^3/atom; excess energy over the best structure of this formula in the dataset = 0 meV per atom; symmetry = No. 123; E_form (uncorrected) = -323 meV per atom; M_tot = 0.00 μB/cell
1.0
5.150 0.000 0.000
0.000 5.150 0.000
0.000 0.000 4.381
P Li Rh Cl
1 1 1 2
direct
0.000 0.000 0.500
0.500 0.500 0.500
0.000 0.000 0.000
0.000 0.500 0.000
0.500 0.000 0.000